The following is a DFT calculation (GGA-PBE) of crystalline Ba2HoMgTe5 at its relaxed geometry.

Values from the calculation:
The formation energy from raw total energies comes out at -1.32 eV/atom. As for the electronic total energy: -4.18 eV per atom.

Lattice parameters (Å, degrees): 4.6442 10.3430 14.0847 90.00 90.00 102.97
Closest atoms and distances in Å follow each position.
Sites, in units of the cell vectors:
Te (0.0552, 0.1104, 0.0542)  2 Mg 2.79, 1 Ho 3.12
Te (0.3575, 0.7150, 0.0062)  1 Ho 3.02
Te (0.2908, 0.5816, 0.6607)  2 Ho 3.09
Te (0.6425, 0.2850, 0.5062)  1 Ho 3.02
Te (0.5039, 0.0078, 0.2714)  1 Mg 2.75
Te (0.6938, 0.3876, 0.8675)  1 Mg 2.91, 2 Ho 3.14
Te (0.3062, 0.6124, 0.3675)  1 Mg 2.91, 2 Ho 3.14
Te (0.9448, 0.8896, 0.5542)  2 Mg 2.79, 1 Ho 3.12
Te (0.4961, 0.9922, 0.7714)  1 Mg 2.75
Te (0.7092, 0.4184, 0.1607)  2 Ho 3.09
Mg (0.4402, 0.8804, 0.4442)  4 Te 2.75-2.91
Mg (0.5598, 0.1196, 0.9442)  4 Te 2.75-2.91
Ba (0.8870, 0.7739, 0.1881)  8 Te 3.51-3.88
Ba (0.1281, 0.2563, 0.3156)  7 Te 3.47-3.66
Ba (0.8719, 0.7437, 0.8156)  7 Te 3.47-3.66
Ba (0.1130, 0.2261, 0.6881)  8 Te 3.51-3.88
Ho (0.7921, 0.5842, 0.5161)  6 Te 3.02-3.14
Ho (0.2079, 0.4158, 0.0161)  6 Te 3.02-3.14

The following is a DFT calculation (GGA-PBE) of crystalline BaHoMg2Tl4 at its relaxed geometry.

Values from the calculation:
The energy of formation comes out at -0.26 eV/atom. As for the electronic total energy: -2.65 eV per atom.

Lattice parameters (Å, degrees): 5.0141 5.0141 11.3540 77.24 77.24 60.00
Closest atoms and distances in Å follow each position.
Sites, in units of the cell vectors:
Ba (0.0000, 0.0000, 0.0000)  6 Tl 3.58
Mg (0.2346, 0.2346, 0.2962)  6 Tl 3.02-3.11
Mg (0.7654, 0.7654, 0.7038)  6 Tl 3.02-3.11
Tl (0.1252, 0.1252, 0.6245)  3 Mg 3.02, 3 Ho 3.20
Tl (0.3973, 0.3973, 0.8081)  3 Mg 3.11, 1 Ho 3.38
Tl (0.6027, 0.6027, 0.1919)  3 Mg 3.11, 1 Ho 3.38
Tl (0.8748, 0.8748, 0.3755)  3 Mg 3.02, 3 Ho 3.20
Ho (0.5000, 0.5000, 0.5000)  8 Tl 3.20-3.38

Question: Number 2 is which compound?
Answer: BaHoMg2Tl4